Below is an optimized crystal structure of YMn3Re, with properties calculated at the PBE level.

Symmetry: Pm-3m
Magnetic moment (μB/atom): 0.32
Theoretical density (Mg/m³): 8.8
E (Ha/atom): -0.24461
DOS at the Fermi energy (states/eV/cell): 8.5

Geometry as POSCAR:
```
YMn3Re
1.0
4.370 0.000 0.000
0.000 4.370 0.000
0.000 0.000 4.370
Y Mn Re
1 3 1
Cartesian
0.000 0.000 0.000 Y
0.000 0.000 2.185 Mn
0.000 2.185 0.000 Mn
2.185 0.000 0.000 Mn
2.185 2.185 2.185 Re
```